The following is a DFT calculation (PBE-GGA) of an optimized crystal structure of RbZr2TiCo.

Cell and atoms, written as POSCAR:
```
RbZr2TiCo
1.0
5.2799 0.0000 0.0000
0.0000 4.3833 0.0000
0.0000 0.0000 5.2799
Zr Rb Ti Co
2 1 1 1
Cartesian
2.6400 0.0000 0.0000
0.0000 0.0000 2.6400
2.6400 2.1916 2.6400
0.0000 0.0000 0.0000
0.0000 2.1916 0.0000
```

**Crystal system**: tetragonal
**E_form**: 106.23 kJ/mol of atoms
**E_tot**: -5.512 eV per atom